(1)
VASP calculation (PBE-GGA) on a geometry-optimized TmTaCd structure.

```
data_TmTaCd
_space_group_name_H-M_alt 'F -4 3 m'
_space_group_IT_number 216
_space_group_name_Hall 'F -4 2 3'
_cell_length_a 6.871
_cell_length_b 6.871
_cell_length_c 6.871
_cell_angle_alpha 90.00
_cell_angle_beta 90.00
_cell_angle_gamma 90.00
loop_
_atom_site_label
_atom_site_fract_x
_atom_site_fract_y
_atom_site_fract_z
Tm1 0.000 0.000 0.000
Ta1 0.250 0.250 0.250
Cd1 0.250 0.250 0.750
```



(2)
VASP calculation (PBE-GGA) on a geometry-optimized UTaCd structure.

```
data_UTaCd
_space_group_name_H-M_alt 'F -4 3 m'
_space_group_IT_number 216
_space_group_name_Hall 'F -4 2 3'
_cell_length_a 6.705
_cell_length_b 6.705
_cell_length_c 6.705
_cell_angle_alpha 90.00
_cell_angle_beta 90.00
_cell_angle_gamma 90.00
loop_
_atom_site_label
_atom_site_fract_x
_atom_site_fract_y
_atom_site_fract_z
U1 0.000 0.000 0.000
Ta1 0.250 0.250 0.250
Cd1 0.250 0.250 0.750
```



(3)
VASP calculation (PBE-GGA) on a geometry-optimized TaCdW2 structure.

```
data_TaCdW2
_space_group_name_H-M_alt 'F -4 3 m'
_space_group_IT_number 216
_space_group_name_Hall 'F -4 2 3'
_cell_length_a 6.529
_cell_length_b 6.529
_cell_length_c 6.529
_cell_angle_alpha 90.00
_cell_angle_beta 90.00
_cell_angle_gamma 90.00
loop_
_atom_site_label
_atom_site_fract_x
_atom_site_fract_y
_atom_site_fract_z
Ta1 0.000 0.000 0.000
Cd1 0.250 0.250 0.250
W1 0.000 0.000 0.500
W2 0.250 0.250 0.750
```



(4)
VASP calculation (PBE-GGA) on a geometry-optimized Ta2CdW structure.

```
data_Ta2CdW
_space_group_name_H-M_alt 'F -4 3 m'
_space_group_IT_number 216
_space_group_name_Hall 'F -4 2 3'
_cell_length_a 6.598
_cell_length_b 6.598
_cell_length_c 6.598
_cell_angle_alpha 90.00
_cell_angle_beta 90.00
_cell_angle_gamma 90.00
loop_
_atom_site_label
_atom_site_fract_x
_atom_site_fract_y
_atom_site_fract_z
Ta1 0.000 0.000 0.000
Ta2 0.250 0.250 0.250
Cd1 0.250 0.250 0.750
W1 0.000 0.000 0.500
```



Formation energy (meV/atom)
1265; 1523; 522; 460
Ρ (kg/m³)
9466; 11708; 15773; 15221